A plane-wave DFT calculation with PBE was carried out for crystalline Rb3Dy2PaTe6 at its relaxed geometry.

## Properties
Uncorrected formation energy = -14.45 eV per formula unit
Density of states at the Fermi level = 0.85 states/eV/atom
Space-group type = C2/m (12)

abc: 7.810 7.810 9.005
angles: 98.32 98.32 119.99
Each line ends with the local moment (μB).
Sites, in units of the cell vectors:
Dy  0.667  0.333  0.000  0.11
Te  0.067  0.402  0.202  -0.01
Te  0.732  0.732  0.202  -0.01
Te  0.268  0.268  0.798  -0.01
Rb  0.500  0.500  0.500  0.00
Rb  0.167  0.833  0.500  0.00
Rb  0.833  0.167  0.500  0.00
Pa  0.000  0.000  0.000  1.37
Te  0.598  0.933  0.798  -0.01
Te  0.933  0.598  0.798  -0.01
Te  0.402  0.067  0.202  -0.01
Dy  0.333  0.667  0.000  0.11

A plane-wave DFT calculation with PBE was carried out for crystalline Rb4Dy3PaTe8 at its relaxed geometry.

## Properties
Uncorrected formation energy = -19.99 eV per formula unit
Density of states at the Fermi level = 0.69 states/eV/atom
Space-group type = R-3m (166)

abc: 9.029 10.059 9.029
angles: 116.68 120.00 90.00
Each line ends with the local moment (μB).
Sites, in units of the cell vectors:
Dy  0.000  0.500  0.500  0.07
Te  0.267  0.301  0.534  0.00
Rb  0.500  0.000  0.500  0.00
Te  0.732  0.702  0.967  -0.01
Te  0.268  0.298  0.033  -0.01
Te  0.733  0.699  0.466  0.00
Dy  0.500  0.500  0.000  0.07
Te  0.765  0.298  0.530  -0.01
Rb  0.000  0.000  0.500  0.00
Te  0.235  0.702  0.967  -0.01
Pa  0.000  0.500  0.000  1.38
Te  0.235  0.702  0.470  -0.01
Te  0.765  0.298  0.033  -0.01
Rb  0.500  0.000  0.000  0.00
Dy  0.500  0.500  0.500  0.07
Rb  0.000  0.000  0.000  0.00

A plane-wave DFT calculation with PBE was carried out for crystalline Rb2DyPa2Te6 at its relaxed geometry.

## Properties
Uncorrected formation energy = -11.71 eV per formula unit
Density of states at the Fermi level = 1.29 states/eV/atom
Space-group type = C2/m (12)

abc: 7.635 7.635 9.256
angles: 97.89 97.89 120.01
Each line ends with the local moment (μB).
Sites, in units of the cell vectors:
Te  0.731  0.731  0.700  -0.03
Te  0.931  0.600  0.299  -0.03
Dy  0.000  0.000  0.500  0.10
Te  0.400  0.069  0.701  -0.03
Te  0.269  0.269  0.300  -0.03
Pa  0.667  0.333  0.500  1.27
Te  0.069  0.400  0.701  -0.03
Rb  0.834  0.166  0.000  0.00
Rb  0.166  0.834  0.000  0.00
Te  0.600  0.931  0.299  -0.03
Pa  0.333  0.667  0.500  1.27